Here is crystalline KSrSI at its relaxed geometry from Alexandria via LeMat-Bulk. Energies are from PBE-GGA.

Cell and atoms, written as CIF:
```
data_KSrSI
_space_group_name_H-M_alt 'R 3 m'
_space_group_IT_number 160
_space_group_name_Hall 'R 3 -2"'
_cell_length_a 4.4648
_cell_length_b 4.4648
_cell_length_c 24.9833
_cell_angle_alpha 90.00
_cell_angle_beta 90.00
_cell_angle_gamma 120.00
loop_
_atom_site_label
_atom_site_type_symbol
_atom_site_fract_x
_atom_site_fract_y
_atom_site_fract_z
_atom_site_occupancy
K1 K 0.0000 0.0000 0.0000 1
Sr1 Sr 0.0000 0.0000 0.1992 1
S1 S 0.0000 0.0000 0.5886 1
I1 I 0.0000 0.0000 0.4351 1
```

## Properties
Crystal system   trigonal
Energy relative to the elements, uncorrected   -1.6430 eV per atom

Here is crystalline LiAgSn4 at its relaxed geometry from Alexandria via LeMat-Bulk. Energies are from PBE-GGA.

Cell and atoms, written as CIF:
```
data_LiAgSn4
_space_group_name_H-M_alt 'I 4/m c m'
_space_group_IT_number 140
_space_group_name_Hall '-I 4 2c'
_cell_length_a 6.903
_cell_length_b 6.903
_cell_length_c 12.057
_cell_angle_alpha 90.00
_cell_angle_beta 90.00
_cell_angle_gamma 90.00
loop_
_atom_site_label
_atom_site_type_symbol
_atom_site_fract_x
_atom_site_fract_y
_atom_site_fract_z
_atom_site_occupancy
Li1 Li 0.000 0.000 0.000 1
Ag1 Ag 0.000 0.000 0.250 1
Sn1 Sn 0.157 0.343 0.131 1
```

## Properties
E   -85.0 eV/cell
Crystal system   tetragonal

Here is crystalline Mn2AgRh2 at its relaxed geometry from Alexandria via LeMat-Bulk. Energies are from PBE-GGA.

Cell and atoms, written as CIF:
```
data_Mn2AgRh2
_space_group_name_H-M_alt 'P 4/m b m'
_space_group_IT_number 127
_space_group_name_Hall '-P 4 2ab'
_cell_length_a 7.289
_cell_length_b 7.289
_cell_length_c 2.639
_cell_angle_alpha 90.00
_cell_angle_beta 90.00
_cell_angle_gamma 90.00
loop_
_atom_site_label
_atom_site_type_symbol
_atom_site_fract_x
_atom_site_fract_y
_atom_site_fract_z
_atom_site_occupancy
Mn1 Mn 0.167 0.333 0.000 1
Ag1 Ag 0.000 0.000 0.500 1
Rh1 Rh 0.128 0.628 0.500 1
```

## Properties
E   -68.9 eV/cell
Crystal system   tetragonal

Here is crystalline Mg3ZnO4 at its relaxed geometry from Alexandria via LeMat-Bulk. Energies are from PBE-GGA.

Cell and atoms, written as CIF:
```
data_Mg3ZnO4
_space_group_name_H-M_alt 'C m m m'
_space_group_IT_number 65
_space_group_name_Hall '-C 2 2'
_cell_length_a 6.044
_cell_length_b 8.549
_cell_length_c 3.027
_cell_angle_alpha 90.00
_cell_angle_beta 90.00
_cell_angle_gamma 90.00
loop_
_atom_site_label
_atom_site_type_symbol
_atom_site_fract_x
_atom_site_fract_y
_atom_site_fract_z
_atom_site_occupancy
Mg1 Mg 0.000 0.000 0.000 1
Mg2 Mg 0.250 0.250 0.500 1
Zn1 Zn 0.000 0.500 0.000 1
O1 O 0.000 0.247 0.000 1
O2 O 0.244 0.000 0.500 1
```

## Properties
Crystal system   orthorhombic
Energy relative to the elements, uncorrected   -2.3557 eV per atom

Here is crystalline CrGa2SnP at its relaxed geometry from Alexandria via LeMat-Bulk. Energies are from PBE-GGA.

Cell and atoms, written as CIF:
```
data_CrGa2SnP
_space_group_name_H-M_alt 'P 4/m m m'
_space_group_IT_number 123
_space_group_name_Hall '-P 4 2'
_cell_length_a 4.661
_cell_length_b 4.661
_cell_length_c 5.274
_cell_angle_alpha 90.00
_cell_angle_beta 90.00
_cell_angle_gamma 90.00
loop_
_atom_site_label
_atom_site_type_symbol
_atom_site_fract_x
_atom_site_fract_y
_atom_site_fract_z
_atom_site_occupancy
Cr1 Cr 0.000 0.000 0.000 1
Ga1 Ga 0.000 0.500 0.500 1
Sn1 Sn 0.500 0.500 0.000 1
P1 P 0.500 0.500 0.500 1
```

## Properties
E   -19.8 eV/cell
Crystal system   tetragonal

Here is crystalline TeOsBr2 at its relaxed geometry from Alexandria via LeMat-Bulk. Energies are from PBE-GGA.

Cell and atoms, written as CIF:
```
data_TeOsBr2
_space_group_name_H-M_alt 'P 4 m m'
_space_group_IT_number 99
_space_group_name_Hall 'P 4 -2'
_cell_length_a 3.188
_cell_length_b 3.188
_cell_length_c 10.261
_cell_angle_alpha 90.00
_cell_angle_beta 90.00
_cell_angle_gamma 90.00
loop_
_atom_site_label
_atom_site_type_symbol
_atom_site_fract_x
_atom_site_fract_y
_atom_site_fract_z
_atom_site_occupancy
Te1 Te 0.000 0.000 0.000 1
Os1 Os 0.500 0.500 0.853 1
Br1 Br 0.000 0.000 0.668 1
Br2 Br 0.500 0.500 0.304 1
```

## Properties
Crystal system   tetragonal
Energy relative to the elements, uncorrected   0.4715 eV per atom

Here is crystalline MnPRu at its relaxed geometry from Alexandria via LeMat-Bulk. Energies are from PBE-GGA.

Cell and atoms, written as CIF:
```
data_MnPRu
_space_group_name_H-M_alt 'F -4 3 m'
_space_group_IT_number 216
_space_group_name_Hall 'F -4 2 3'
_cell_length_a 5.615
_cell_length_b 5.615
_cell_length_c 5.615
_cell_angle_alpha 90.00
_cell_angle_beta 90.00
_cell_angle_gamma 90.00
loop_
_atom_site_label
_atom_site_type_symbol
_atom_site_fract_x
_atom_site_fract_y
_atom_site_fract_z
_atom_site_occupancy
Mn1 Mn 0.000 0.000 0.000 1
P1 P 0.000 0.000 0.500 1
Ru1 Ru 0.250 0.250 0.750 1
```

## Properties
E   -97.5 eV/cell
Crystal system   cubic

Here is crystalline SrYMg14 at its relaxed geometry from Alexandria via LeMat-Bulk. Energies are from PBE-GGA.

Cell and atoms, written as CIF:
```
data_SrYMg14
_space_group_name_H-M_alt 'P -6 m 2'
_space_group_IT_number 187
_space_group_name_Hall 'P -6 2'
_cell_length_a 6.7037
_cell_length_b 6.7037
_cell_length_c 10.4583
_cell_angle_alpha 90.00
_cell_angle_beta 90.00
_cell_angle_gamma 120.00
loop_
_atom_site_label
_atom_site_type_symbol
_atom_site_fract_x
_atom_site_fract_y
_atom_site_fract_z
_atom_site_occupancy
Sr1 Sr 0.0000 0.0000 0.0000 1
Y1 Y 0.0000 0.0000 0.5000 1
Mg1 Mg 0.0040 0.5020 0.5000 1
Mg2 Mg 0.0118 0.5059 0.0000 1
Mg3 Mg 0.1726 0.3452 0.2576 1
Mg4 Mg 0.6667 0.3333 0.2491 1
```

## Properties
E   -30.2 eV/cell
Crystal system   hexagonal

Here is crystalline La2Co12Ge7 at its relaxed geometry from Alexandria via LeMat-Bulk. Energies are from PBE-GGA.

Cell and atoms, written as CIF:
```
data_La2Co12Ge7
_space_group_name_H-M_alt 'P -6'
_space_group_IT_number 174
_space_group_name_Hall 'P -6'
_cell_length_a 9.4290
_cell_length_b 9.4290
_cell_length_c 3.8322
_cell_angle_alpha 90.00
_cell_angle_beta 90.00
_cell_angle_gamma 120.00
loop_
_atom_site_label
_atom_site_type_symbol
_atom_site_fract_x
_atom_site_fract_y
_atom_site_fract_z
_atom_site_occupancy
La1 La 0.0000 0.0000 0.0000 1
La2 La 0.3333 0.6667 0.5000 1
Co1 Co 0.0398 0.2800 0.5000 1
Co2 Co 0.1083 0.7210 0.0000 1
Co3 Co 0.3889 0.1887 0.0000 1
Co4 Co 0.5628 0.4361 0.5000 1
Ge1 Ge 0.0562 0.4438 0.0000 1
Ge2 Ge 0.2734 0.2373 0.5000 1
Ge3 Ge 0.6667 0.3333 0.0000 1
```

## Properties
E   -133.7 eV/cell
Crystal system   hexagonal

Here is crystalline Nd2TmPu at its relaxed geometry from Alexandria via LeMat-Bulk. Energies are from PBE-GGA.

Cell and atoms, written as CIF:
```
data_Nd2TmPu
_space_group_name_H-M_alt 'P 4/m m m'
_space_group_IT_number 123
_space_group_name_Hall '-P 4 2'
_cell_length_a 5.052
_cell_length_b 5.052
_cell_length_c 4.985
_cell_angle_alpha 90.00
_cell_angle_beta 90.00
_cell_angle_gamma 90.00
loop_
_atom_site_label
_atom_site_type_symbol
_atom_site_fract_x
_atom_site_fract_y
_atom_site_fract_z
_atom_site_occupancy
Nd1 Nd 0.000 0.500 0.000 1
Tm1 Tm 0.000 0.000 0.500 1
Pu1 Pu 0.500 0.500 0.500 1
```

## Properties
E   -27.7 eV/cell
Crystal system   tetragonal

Here is crystalline AcTb2Er3 at its relaxed geometry from Alexandria via LeMat-Bulk. Energies are from PBE-GGA.

Cell and atoms, written as CIF:
```
data_AcTb2Er3
_space_group_name_H-M_alt 'C 1 2/m 1'
_space_group_IT_number 12
_space_group_name_Hall '-C 2y'
_cell_length_a 23.005
_cell_length_b 3.568
_cell_length_c 10.519
_cell_angle_alpha 90.00
_cell_angle_beta 109.11
_cell_angle_gamma 90.00
loop_
_atom_site_label
_atom_site_type_symbol
_atom_site_fract_x
_atom_site_fract_y
_atom_site_fract_z
_atom_site_occupancy
Ac1 Ac 0.180 0.000 0.036 1
Tb1 Tb 0.063 0.500 0.151 1
Tb2 Tb 0.192 0.000 0.376 1
Er1 Er 0.059 0.000 0.445 1
Er2 Er 0.067 0.500 0.746 1
Er3 Er 0.196 0.000 0.711 1
```

## Properties
E   -104.8 eV/cell
Crystal system   monoclinic

Here is crystalline Al2TeBr at its relaxed geometry from Alexandria via LeMat-Bulk. Energies are from PBE-GGA.

Cell and atoms, written as CIF:
```
data_Al2TeBr
_space_group_name_H-M_alt 'F -4 3 m'
_space_group_IT_number 216
_space_group_name_Hall 'F -4 2 3'
_cell_length_a 7.306
_cell_length_b 7.306
_cell_length_c 7.306
_cell_angle_alpha 90.00
_cell_angle_beta 90.00
_cell_angle_gamma 90.00
loop_
_atom_site_label
_atom_site_type_symbol
_atom_site_fract_x
_atom_site_fract_y
_atom_site_fract_z
_atom_site_occupancy
Al1 Al 0.000 0.000 0.000 1
Al2 Al 0.250 0.250 0.250 1
Te1 Te 0.250 0.250 0.750 1
Br1 Br 0.000 0.000 0.500 1
```

## Properties
Crystal system   cubic
Energy relative to the elements, uncorrected   0.2583 eV per atom